*i*
Density functional theory data (PBE-GGA) for crystalline TaCoCuBi at its relaxed geometry.

Summary:
Total magnetic moment: 0.00 Bohr magnetons per cell

```
TaCoCuBi
1.0
-3.855 -2.382 -0.049
-3.431 1.186 2.713
-3.761 1.812 -1.763
Bi Co Cu Ta
1 1 1 1
Cartesian
0.000 0.000 0.000
-8.285 0.462 0.676
-2.762 0.154 0.225
-5.524 0.308 0.451
```

---

*ii*
Density functional theory data (PBE-GGA) for crystalline TaCoCuBi at its relaxed geometry.

Summary:
Total magnetic moment: 0.08 Bohr magnetons per cell

```
TaCoCuBi
1.0
1.356 -3.671 -2.362
-0.286 -4.159 1.876
-3.090 -2.995 -1.542
Bi Co Cu Ta
1 1 1 1
Cartesian
0.000 0.000 0.000
-1.010 -5.413 -1.014
-1.515 -8.119 -1.520
-0.505 -2.706 -0.507
```

---

The relative energies come out as *i* 0; *ii* 145, with values in meV per atom.

---

*i*
Density functional theory data (PBE-GGA) for crystalline CoCuBiW at its relaxed geometry.

Summary:
Total magnetic moment: 1.31 Bohr magnetons per cell

```
CoCuBiW
1.0
0.193 -1.855 4.116
-2.249 -3.823 0.863
2.264 -3.859 0.635
Bi Co Cu W
1 1 1 1
Cartesian
0.000 0.000 0.000
0.104 -4.769 2.807
0.156 -7.153 4.211
0.052 -2.384 1.404
```

---

*ii*
Density functional theory data (PBE-GGA) for crystalline CoCuBiW at its relaxed geometry.

Summary:
Total magnetic moment: 1.27 Bohr magnetons per cell

```
CoCuBiW
1.0
0.000 3.178 3.178
3.178 0.000 3.178
3.178 3.178 0.000
Bi Co Cu W
1 1 1 1
Cartesian
0.000 0.000 0.000
4.766 4.766 4.766
1.589 1.589 1.589
3.178 3.178 3.178
```

---

The relative energies come out as *i* 25; *ii* 0, with values in meV per atom.

---

*i*
Density functional theory data (PBE-GGA) for crystalline HfFeCoBi at its relaxed geometry.

Summary:
Total magnetic moment: 3.29 Bohr magnetons per cell

```
HfFeCoBi
1.0
0.000 3.259 3.259
3.259 0.000 3.259
3.259 3.259 0.000
Bi Co Fe Hf
1 1 1 1
Cartesian
0.000 0.000 0.000
4.889 4.889 4.889
3.259 3.259 3.259
1.630 1.630 1.630
```

---

*ii*
Density functional theory data (PBE-GGA) for crystalline HfFeCoBi at its relaxed geometry.

Summary:
Total magnetic moment: 1.99 Bohr magnetons per cell

```
HfFeCoBi
1.0
0.000 3.183 3.183
3.183 0.000 3.183
3.183 3.183 0.000
Bi Co Fe Hf
1 1 1 1
Cartesian
0.000 0.000 0.000
4.774 4.774 4.774
1.591 1.591 1.591
3.183 3.183 3.183
```

---

*iii*
Density functional theory data (PBE-GGA) for crystalline HfFeCoBi at its relaxed geometry.

Summary:
Total magnetic moment: 3.39 Bohr magnetons per cell

```
HfFeCoBi
1.0
4.208 -1.846 -0.499
0.468 -4.561 -0.585
1.314 -1.682 -4.100
Bi Co Fe Hf
1 1 1 1
Cartesian
0.000 0.000 0.000
2.995 -4.044 -2.592
4.493 -6.066 -3.888
1.498 -2.022 -1.296
```

---

The relative energies come out as *i* 343; *ii* 0; *iii* 372, with values in meV per atom.

---

*i*
Density functional theory data (PBE-GGA) for crystalline NbFeCoBi at its relaxed geometry.

Summary:
Total magnetic moment: 2.42 Bohr magnetons per cell

```
NbFeCoBi
1.0
-1.540 0.003 4.192
-4.067 -1.617 0.886
-0.437 -3.850 2.221
Bi Co Fe Nb
1 1 1 1
Cartesian
0.000 0.000 0.000
-4.533 -4.098 5.474
-1.511 -1.366 1.825
-3.022 -2.732 3.649
```

---

*ii*
Density functional theory data (PBE-GGA) for crystalline NbFeCoBi at its relaxed geometry.

Summary:
Total magnetic moment: 2.93 Bohr magnetons per cell

```
NbFeCoBi
1.0
0.000 3.208 3.208
3.208 0.000 3.208
3.208 3.208 0.000
Bi Co Fe Nb
1 1 1 1
Cartesian
0.000 0.000 0.000
4.812 4.812 4.812
3.208 3.208 3.208
1.604 1.604 1.604
```

---

The relative energies come out as *i* 0; *ii* 148, with values in meV per atom.

---

*i*
Density functional theory data (PBE-GGA) for crystalline ScFeCoBi at its relaxed geometry.

Summary:
Total magnetic moment: 3.46 Bohr magnetons per cell

```
ScFeCoBi
1.0
-0.972 -2.896 -3.408
-3.488 0.883 -2.829
0.821 1.211 -4.337
Bi Co Fe Sc
1 1 1 1
Cartesian
-0.910 -0.200 -2.643
-1.820 -0.401 -5.287
-2.730 -0.601 -7.930
0.000 0.000 0.000
```

---

*ii*
Density functional theory data (PBE-GGA) for crystalline ScFeCoBi at its relaxed geometry.

Summary:
Total magnetic moment: 1.11 Bohr magnetons per cell

```
ScFeCoBi
1.0
3.390 -0.485 2.843
-0.199 1.860 4.039
-0.471 -2.562 3.609
Bi Co Fe Sc
1 1 1 1
Cartesian
0.680 -0.297 2.623
1.360 -0.593 5.245
0.000 0.000 0.000
2.039 -0.890 7.868
```

---

The relative energies come out as *i* 184; *ii* 0, with values in meV per atom.

---

*i*
Density functional theory data (PBE-GGA) for crystalline FeCoBiW at its relaxed geometry.

Summary:
Total magnetic moment: 3.58 Bohr magnetons per cell

```
FeCoBiW
1.0
0.000 3.166 3.166
3.166 0.000 3.166
3.166 3.166 0.000
Bi Co Fe W
1 1 1 1
Cartesian
0.000 0.000 0.000
4.750 4.750 4.750
3.166 3.166 3.166
1.583 1.583 1.583
```

---

*ii*
Density functional theory data (PBE-GGA) for crystalline FeCoBiW at its relaxed geometry.

Summary:
Total magnetic moment: 3.56 Bohr magnetons per cell

```
FeCoBiW
1.0
-1.557 -0.660 4.096
-2.621 3.032 1.889
-4.300 -0.868 0.623
Bi Co Fe W
1 1 1 1
Cartesian
0.000 0.000 0.000
-6.359 1.128 4.956
-2.120 0.376 1.652
-4.239 0.752 3.304
```

---

The relative energies come out as *i* 81; *ii* 0, with values in meV per atom.

---

*i*
Density functional theory data (PBE-GGA) for crystalline YFeCoBi at its relaxed geometry.

Summary:
Total magnetic moment: 3.81 Bohr magnetons per cell

```
YFeCoBi
1.0
-2.102 -4.294 0.215
-2.526 -1.237 3.872
-4.766 -0.347 -0.262
Bi Co Fe Y
1 1 1 1
Cartesian
0.000 0.000 0.000
-7.045 -4.408 2.869
-4.697 -2.939 1.912
-2.348 -1.469 0.956
```

---

*ii*
Density functional theory data (PBE-GGA) for crystalline YFeCoBi at its relaxed geometry.

Summary:
Total magnetic moment: 3.96 Bohr magnetons per cell

```
YFeCoBi
1.0
-4.436 1.355 1.203
-1.653 4.282 -1.375
-3.410 0.288 -3.354
Bi Co Fe Y
1 1 1 1
Cartesian
0.000 0.000 0.000
-4.749 2.963 -1.763
-7.124 4.444 -2.645
-2.375 1.481 -0.882
```

---

The relative energies come out as *i* 8; *ii* 0, with values in meV per atom.

---

*i*
Density functional theory data (PBE-GGA) for crystalline NaGaCoBi at its relaxed geometry.

Summary:
Total magnetic moment: 0.29 Bohr magnetons per cell

```
NaGaCoBi
1.0
0.000 3.332 3.332
3.332 0.000 3.332
3.332 3.332 0.000
Bi Co Ga Na
1 1 1 1
Cartesian
3.332 3.332 3.332
1.666 1.666 1.666
0.000 0.000 0.000
4.998 4.998 4.998
```

---

*ii*
Density functional theory data (PBE-GGA) for crystalline NaGaCoBi at its relaxed geometry.

Summary:
Total magnetic moment: 1.69 Bohr magnetons per cell

```
NaGaCoBi
1.0
1.126 -4.773 -0.474
0.338 -2.861 3.997
-3.423 -3.437 0.866
Bi Co Ga Na
1 1 1 1
Cartesian
-0.490 -2.767 1.097
-0.979 -5.535 2.195
0.000 0.000 0.000
-1.469 -8.303 3.292
```

---

The relative energies come out as *i* 0; *ii* 168, with values in meV per atom.